Entry 1:
## TbNd3Sm2Bi6 (GGA-PBE)

Data for TbNd3Sm2Bi6 after structural relaxation.

Cell lengths 10.223, 10.223, 9.145 Å; angles 102.86, 102.86, 25.86 degrees
Atoms (fractional coordinates):
1 Tb 0.000 0.000 0.000
2 Nd 0.000 0.000 0.500
3 Nd 0.333 0.333 0.167
4 Nd 0.667 0.667 0.833
5 Sm 0.334 0.334 0.667
6 Sm 0.666 0.666 0.333
7 Bi 0.165 0.165 0.084
8 Bi 0.167 0.167 0.581
9 Bi 0.500 0.500 0.245
10 Bi 0.500 0.500 0.755
11 Bi 0.833 0.833 0.419
12 Bi 0.835 0.835 0.916

Summary:
calculated formation energy	-0.93	eV per atom

Entry 2:
## NdSmBiTe (GGA-PBE)

Data for NdSmBiTe after structural relaxation.

Cell lengths 7.820, 7.820, 7.820 Å; angles 33.76, 33.76, 33.76 degrees
Atoms (fractional coordinates):
1 Nd 0.000 0.000 0.000
2 Sm 0.501 0.501 0.501
3 Bi 0.249 0.249 0.249
4 Te 0.752 0.752 0.752

Summary:
formation energy (no corrections)	-1.19	eV per atom

Entry 3:
## NdSm2ThBi4 (GGA-PBE)

Data for NdSm2ThBi4 after structural relaxation.

Cell lengths 7.922, 4.588, 7.932 Å; angles 90.00, 109.49, 90.00 degrees
Atoms (fractional coordinates):
1 Nd 0.000 0.000 0.000
2 Sm 0.500 0.000 0.500
3 Sm 0.500 0.500 0.000
4 Th 0.000 0.500 0.500
5 Bi 0.253 0.000 0.751
6 Bi 0.253 0.500 0.252
7 Bi 0.747 0.000 0.249
8 Bi 0.747 0.500 0.748

Summary:
calculated formation energy	-0.86	eV per atom

Entry 4:
## Nd2SmThBi5 (GGA-PBE)

Data for Nd2SmThBi5 after structural relaxation.

Cell lengths 5.733, 5.733, 12.048 Å; angles 90.00, 90.00, 90.00 degrees
Atoms (fractional coordinates):
1 Nd 0.000 0.000 0.225
2 Nd 0.000 0.000 0.775
3 Sm 0.500 0.500 0.500
4 Th 0.500 0.500 0.000
5 Bi 0.000 0.000 0.500
6 Bi 0.000 0.500 0.000
7 Bi 0.500 0.000 0.000
8 Bi 0.500 0.500 0.256
9 Bi 0.500 0.500 0.744

Summary:
calculated formation energy	0.04	eV per atom

Entry 5:
## Nd2SmTh3Bi6 (GGA-PBE)

Data for Nd2SmTh3Bi6 after structural relaxation.

Cell lengths 10.279, 10.279, 9.176 Å; angles 102.86, 102.86, 25.85 degrees
Atoms (fractional coordinates):
1 Nd 0.166 0.166 0.333
2 Nd 0.834 0.834 0.667
3 Sm 0.500 0.500 0.000
4 Th 0.167 0.167 0.833
5 Th 0.500 0.500 0.500
6 Th 0.833 0.833 0.167
7 Bi 0.000 0.000 0.248
8 Bi 0.000 0.000 0.752
9 Bi 0.333 0.333 0.417
10 Bi 0.334 0.334 0.918
11 Bi 0.666 0.666 0.082
12 Bi 0.667 0.667 0.583

Summary:
calculated formation energy	-0.76	eV per atom

Entry 6:
## NdSm3Th2Bi6 (GGA-PBE)

Data for NdSm3Th2Bi6 after structural relaxation.

Cell lengths 10.238, 10.238, 9.152 Å; angles 102.84, 102.84, 25.88 degrees
Atoms (fractional coordinates):
1 Nd 0.000 0.000 0.000
2 Sm 0.000 0.000 0.500
3 Sm 0.334 0.334 0.166
4 Sm 0.666 0.666 0.834
5 Th 0.335 0.335 0.669
6 Th 0.665 0.665 0.331
7 Bi 0.167 0.167 0.585
8 Bi 0.168 0.168 0.082
9 Bi 0.499 0.499 0.252
10 Bi 0.501 0.501 0.748
11 Bi 0.832 0.832 0.918
12 Bi 0.833 0.833 0.415

Summary:
calculated formation energy	-0.82	eV per atom

Entry 7:
## NdSm2Th3Bi6 (GGA-PBE)

Data for NdSm2Th3Bi6 after structural relaxation.

Cell lengths 10.259, 10.259, 9.156 Å; angles 102.84, 102.84, 25.86 degrees
Atoms (fractional coordinates):
1 Nd 0.000 0.000 0.000
2 Sm 0.333 0.333 0.667
3 Sm 0.667 0.667 0.333
4 Th 0.000 0.000 0.500
5 Th 0.334 0.334 0.167
6 Th 0.666 0.666 0.833
7 Bi 0.167 0.167 0.086
8 Bi 0.167 0.167 0.582
9 Bi 0.499 0.499 0.749
10 Bi 0.501 0.501 0.251
11 Bi 0.833 0.833 0.418
12 Bi 0.833 0.833 0.914

Summary:
calculated formation energy	-0.76	eV per atom

Entry 8:
## NdSm2ThBi5 (GGA-PBE)

Data for NdSm2ThBi5 after structural relaxation.

Cell lengths 5.720, 5.720, 12.107 Å; angles 90.00, 90.00, 90.00 degrees
Atoms (fractional coordinates):
1 Nd 0.000 0.000 0.000
2 Sm 0.500 0.500 0.270
3 Sm 0.500 0.500 0.730
4 Th 0.000 0.000 0.500
5 Bi 0.000 0.000 0.245
6 Bi 0.000 0.000 0.755
7 Bi 0.000 0.500 0.500
8 Bi 0.500 0.000 0.500
9 Bi 0.500 0.500 0.000

Summary:
calculated formation energy	0.09	eV per atom

Entry 9:
## Nd2SmTmBi4 (GGA-PBE)

Data for Nd2SmTmBi4 after structural relaxation.

Cell lengths 7.884, 4.558, 7.889 Å; angles 90.00, 109.50, 90.00 degrees
Atoms (fractional coordinates):
1 Nd 0.000 0.000 0.000
2 Nd 0.000 0.500 0.500
3 Sm 0.500 0.000 0.500
4 Tm 0.500 0.500 0.000
5 Bi 0.256 0.500 0.248
6 Bi 0.259 0.000 0.757
7 Bi 0.741 0.000 0.243
8 Bi 0.744 0.500 0.752

Summary:
calculated formation energy	-0.90	eV per atom

Entry 10:
## Nd2Sm3TmBi6 (GGA-PBE)

Data for Nd2Sm3TmBi6 after structural relaxation.

Cell lengths 10.184, 10.184, 9.110 Å; angles 102.92, 102.92, 25.86 degrees
Atoms (fractional coordinates):
1 Nd 0.166 0.166 0.332
2 Nd 0.834 0.834 0.668
3 Sm 0.168 0.168 0.834
4 Sm 0.500 0.500 0.500
5 Sm 0.832 0.832 0.166
6 Tm 0.500 0.500 0.000
7 Bi 0.002 0.002 0.757
8 Bi 0.334 0.334 0.415
9 Bi 0.336 0.336 0.921
10 Bi 0.664 0.664 0.079
11 Bi 0.666 0.666 0.585
12 Bi 0.998 0.998 0.243

Summary:
calculated formation energy	-0.91	eV per atom

Entry 11:
## Nd2SmTmBi5 (GGA-PBE)

Data for Nd2SmTmBi5 after structural relaxation.

Cell lengths 5.528, 5.528, 11.881 Å; angles 90.00, 90.00, 90.00 degrees
Atoms (fractional coordinates):
1 Nd 0.000 0.000 0.223
2 Nd 0.000 0.000 0.777
3 Sm 0.500 0.500 0.000
4 Tm 0.500 0.500 0.500
5 Bi 0.000 0.000 0.500
6 Bi 0.000 0.500 0.000
7 Bi 0.500 0.000 0.000
8 Bi 0.500 0.500 0.257
9 Bi 0.500 0.500 0.743

Summary:
calculated formation energy	-0.04	eV per atom

Entry 12:
## NdSm2Tm3Bi6 (GGA-PBE)

Data for NdSm2Tm3Bi6 after structural relaxation.

Cell lengths 10.066, 10.066, 9.006 Å; angles 102.77, 102.77, 25.87 degrees
Atoms (fractional coordinates):
1 Nd 0.000 0.000 0.000
2 Sm 0.333 0.333 0.667
3 Sm 0.667 0.667 0.333
4 Tm 0.000 0.000 0.500
5 Tm 0.334 0.334 0.167
6 Tm 0.666 0.666 0.833
7 Bi 0.165 0.165 0.588
8 Bi 0.170 0.170 0.079
9 Bi 0.498 0.498 0.257
10 Bi 0.502 0.502 0.743
11 Bi 0.830 0.830 0.921
12 Bi 0.835 0.835 0.412

Summary:
calculated formation energy	-0.86	eV per atom

Calculated total magnetic moment in order - 0.0 0.0 0.0 0.0 0.0 0.0 0.0 0.0 0.0 0.0 0.0 0.0 μB per cell